Record 1
! MgAgPCl2, relaxed, DFT PBE; values from VASP
! Symmetry ... P4/mmm, No. 123
! Magnetization ... 0.395 μB/atom
! Formation energy from raw total energies ... -0.16 eV/atom
! Excess energy over the best structure of this formula in the dataset ... 0.000 eV/atom
&SYSTEM
  ibrav = 0, nat = 5, ntyp = 4
/
ATOMIC_SPECIES
P 30.97 P.upf
Mg 24.30 Mg.upf
Ag 107.87 Ag.upf
Cl 35.45 Cl.upf
ATOMIC_POSITIONS crystal
P 0.0000 0.0000 0.5000
Mg 0.0000 0.0000 0.0000
Ag 0.5000 0.5000 0.5000
Cl 0.0000 0.5000 0.0000
Cl 0.5000 0.0000 0.0000
CELL_PARAMETERS angstrom
4.8234 0.0000 0.0000
0.0000 4.8234 0.0000
0.0000 0.0000 5.3179

Record 2
! MgAgPCl2, relaxed, DFT PBE; values from VASP
! Symmetry ... P4/mmm, No. 123
! Magnetization ... 0.247 μB/atom
! Formation energy from raw total energies ... 0.13 eV/atom
! Excess energy over the best structure of this formula in the dataset ... 0.290 eV/atom
&SYSTEM
  ibrav = 0, nat = 5, ntyp = 4
/
ATOMIC_SPECIES
P 30.97 P.upf
Mg 24.30 Mg.upf
Ag 107.87 Ag.upf
Cl 35.45 Cl.upf
ATOMIC_POSITIONS crystal
P 0.0000 0.0000 0.5000
Mg 0.5000 0.5000 0.5000
Ag 0.0000 0.0000 0.0000
Cl 0.0000 0.5000 0.0000
Cl 0.5000 0.0000 0.0000
CELL_PARAMETERS angstrom
-3.9029 2.3066 -2.1675
0.2734 -3.1826 -3.8791
-3.1426 -3.1201 2.3384